(1)
The following is a DFT calculation (PBE) of a relaxed structure of CuAuO2.

a = 5.605 Å, b = 5.605 Å, c = 5.605 Å
α = 90.00°, β = 90.00°, γ = 90.00°
Fractional positions:
Cu1 0.000 0.000 0.000
Cu2 0.000 0.500 0.500
Cu3 0.500 0.000 0.500
Cu4 0.500 0.500 0.000
Au1 0.000 0.000 0.500
Au2 0.000 0.500 0.000
Au3 0.500 0.000 0.000
Au4 0.500 0.500 0.500
O1 0.250 0.250 0.250
O2 0.250 0.250 0.750
O3 0.250 0.750 0.250
O4 0.250 0.750 0.750
O5 0.750 0.250 0.250
O6 0.750 0.250 0.750
O7 0.750 0.750 0.250
O8 0.750 0.750 0.750

## Properties
For the uncorrected formation energy, the calculation gives 0.44 eV/atom. The spin magnetization comes out at 0.000 μB per cell. The density of states at the Fermi level comes out at 16.1 states/eV per cell.



(2)
The following is a DFT calculation (PBE) of a relaxed structure of CuAuO3.

a = 5.660 Å, b = 5.660 Å, c = 6.151 Å
α = 90.00°, β = 90.00°, γ = 136.58°
Fractional positions:
Cu1 0.229 0.771 0.750
Cu2 0.771 0.229 0.250
Au1 0.483 0.517 0.250
Au2 0.517 0.483 0.750
O1 0.056 0.944 0.750
O2 0.366 0.634 0.537
O3 0.366 0.634 0.963
O4 0.634 0.366 0.037
O5 0.634 0.366 0.463
O6 0.944 0.056 0.250

## Properties
For the uncorrected formation energy, the calculation gives 0.16 eV/atom. The spin magnetization comes out at 0.726 μB per cell. The density of states at the Fermi level comes out at 4.7 states/eV per cell.



(3)
The following is a DFT calculation (PBE) of a relaxed structure of CuAu3O.

a = 4.767 Å, b = 4.767 Å, c = 4.767 Å
α = 90.00°, β = 90.00°, γ = 90.00°
Fractional positions:
Cu1 0.000 0.000 0.000
Au1 0.000 0.000 0.500
Au2 0.000 0.500 0.000
Au3 0.500 0.000 0.000
O1 0.500 0.500 0.500

## Properties
For the uncorrected formation energy, the calculation gives 1.10 eV/atom. The value obtained for the distance to the lowest polymorph of the same formula is 53.17 kJ/mol of atoms. The spin magnetization comes out at 1.265 μB per cell. The density of states at the Fermi level comes out at 4.2 states/eV per cell.



(4)
The following is a DFT calculation (PBE) of a relaxed structure of Cu2Au3O6.

a = 5.165 Å, b = 5.165 Å, c = 12.474 Å
α = 102.05°, β = 102.05°, γ = 60.08°
Fractional positions:
Cu1 0.167 0.667 0.000
Cu2 0.333 0.833 0.500
Cu3 0.667 0.167 0.500
Cu4 0.833 0.333 0.000
Au1 0.078 0.922 0.750
Au2 0.250 0.422 0.250
Au3 0.422 0.250 0.750
Au4 0.578 0.750 0.250
Au5 0.750 0.578 0.750
Au6 0.922 0.078 0.250
O1 0.030 0.890 0.585
O2 0.110 0.970 0.915
O3 0.166 0.389 0.085
O4 0.334 0.469 0.415
O5 0.389 0.166 0.585
O6 0.469 0.334 0.915
O7 0.531 0.666 0.085
O8 0.611 0.834 0.415
O9 0.666 0.531 0.585
O10 0.834 0.611 0.915
O11 0.890 0.030 0.085
O12 0.970 0.110 0.415

## Properties
For the uncorrected formation energy, the calculation gives -0.12 eV/atom. The spin magnetization comes out at 0.000 μB per cell. The density of states at the Fermi level comes out at 9.9 states/eV per cell.



Question: The highest spin magnetization belongs to which entry?
Answer: CuAu3O